1.
Computed, not measured: a relaxed structure of Ta2BeCr at the GGA-PBEsol level of DFT.

a b c (Å): 3.0092 3.0092 21.8959
angles (deg): 90.00 90.00 120.00
Space group R3m (No. 160, hexagonal axes)
Asymmetric unit:
Ta 0.0000 0.0000 0.0000 [3 per cell]
Ta 0.0000 0.0000 0.2270 [3 per cell]
Be 0.0000 0.0000 0.4808 [3 per cell]
Cr 0.0000 0.0000 0.7516 [3 per cell]

Summary:
DFT total energy, eV/f.u.: -37.689
Crystal system: trigonal
Formation energy, kJ/mol of atoms: 39.9
N(E_F), states/eV/f.u.: 3.3

2.
Computed, not measured: a relaxed structure of Y3MnGa at the GGA-PBEsol level of DFT.

a b c (Å): 5.013 5.013 5.013
angles (deg): 90.00 90.00 90.00
Space group Pm-3m (No. 221)
Asymmetric unit:
Y 0.000 0.000 0.500 [3 per cell]
Mn 0.000 0.000 0.000 [1 per cell]
Ga 0.500 0.500 0.500 [1 per cell]

Summary:
DFT total energy, eV/f.u.: -32.547
Crystal system: cubic
Formation energy, kJ/mol of atoms: 19.7
N(E_F), states/eV/f.u.: 4.7

3.
Computed, not measured: a relaxed structure of Bi3PF at the GGA-PBEsol level of DFT.

a b c (Å): 5.324 5.324 5.324
angles (deg): 90.00 90.00 90.00
Space group Pm-3m (No. 221)
Asymmetric unit:
Bi 0.000 0.000 0.500 [3 per cell]
P 0.000 0.000 0.000 [1 per cell]
F 0.500 0.500 0.500 [1 per cell]

Summary:
DFT total energy, eV/f.u.: -19.341
Crystal system: cubic
Energy relative to the elements, uncorrected, eV/f.u.: 1.23
N(E_F), states/eV/f.u.: 2.5

4.
Computed, not measured: a relaxed structure of EuMgGe at the GGA-PBEsol level of DFT.

a b c (Å): 7.495 4.456 8.419
angles (deg): 90.00 90.00 90.00
Space group Pnma (No. 62)
Asymmetric unit:
Eu 0.019 0.250 0.182 [4 per cell]
Mg 0.146 0.250 0.563 [4 per cell]
Ge 0.228 0.750 0.385 [4 per cell]

Summary:
DFT total energy, eV/f.u.: -19.071
Crystal system: orthorhombic
Formation energy, kJ/mol of atoms: -59.5
N(E_F), states/eV/f.u.: 9.1

> Among the records above, which one has the lowest DFT total energy?

Ta2BeCr

What did the third record say?
Computed, not measured: a relaxed structure of Bi3PF at the GGA-PBEsol level of DFT.

a b c (Å): 5.324 5.324 5.324
angles (deg): 90.00 90.00 90.00
Space group Pm-3m (No. 221)
Asymmetric unit:
Bi 0.000 0.000 0.500 [3 per cell]
P 0.000 0.000 0.000 [1 per cell]
F 0.500 0.500 0.500 [1 per cell]

Summary:
DFT total energy, eV/f.u.: -19.341
Crystal system: cubic
Energy relative to the elements, uncorrected, eV/f.u.: 1.23
N(E_F), states/eV/f.u.: 2.5

Repeat the fourth record exactly.
Computed, not measured: a relaxed structure of EuMgGe at the GGA-PBEsol level of DFT.

a b c (Å): 7.495 4.456 8.419
angles (deg): 90.00 90.00 90.00
Space group Pnma (No. 62)
Asymmetric unit:
Eu 0.019 0.250 0.182 [4 per cell]
Mg 0.146 0.250 0.563 [4 per cell]
Ge 0.228 0.750 0.385 [4 per cell]

Summary:
DFT total energy, eV/f.u.: -19.071
Crystal system: orthorhombic
Formation energy, kJ/mol of atoms: -59.5
N(E_F), states/eV/f.u.: 9.1

> The highest DFT total energy belongs to which entry?

EuMgGe